{
  "formula": "AgPPb3",
  "functional": "PBE",
  "state": "optimized geometry",
  "relative_energy_mev_per_atom": 0.0,
  "delta_e_f_ev_per_atom": 0.5166,
  "n_ef_per_ev_cell": 3.69,
  "crystal_system": "cubic",
  "m_tot_mub_per_cell": 0.00,
  "cell": [[-5.273, -0.459, 1.317], [0.923, -5.010, 1.948], [1.046, 2.106, 4.921]],
  "species": ["Pb", "Pb", "Pb", "P", "Ag"],
  "fractional_positions": [[0.000, 0.500, 0.000], [0.000, 0.000, 0.500], [0.500, 0.000, 0.000], [0.000, 0.000, 0.000], [0.500, 0.500, 0.500]]
}

{
  "formula": "Ag2PPb",
  "functional": "PBE",
  "state": "optimized geometry",
  "relative_energy_mev_per_atom": 73.0,
  "delta_e_f_ev_per_atom": 0.2566,
  "n_ef_per_ev_cell": 1.40,
  "crystal_system": "monoclinic",
  "m_tot_mub_per_cell": 0.00,
  "cell": [[-1.288, -0.534, 4.155], [-2.464, -2.315, -1.062], [3.688, -4.238, 0.599]],
  "species": ["Ag", "Ag", "P", "Pb"],
  "fractional_positions": [[0.000, 0.248, 0.002], [0.000, 0.252, 0.498], [0.500, 0.250, 0.250], [0.500, 0.750, 0.750]]
}

{
  "formula": "Ag2PPb2",
  "functional": "PBE",
  "state": "optimized geometry",
  "delta_e_f_ev_per_atom": 0.2167,
  "n_ef_per_ev_cell": 7.87,
  "crystal_system": "tetragonal",
  "m_tot_mub_per_cell": 0.00,
  "cell": [[-4.039, -2.794, 4.917], [-4.729, -1.646, -4.819], [2.172, -4.304, -0.662]],
  "species": ["Pb", "Pb", "Pb", "Pb", "P", "P", "Ag", "Ag", "Ag", "Ag"],
  "fractional_positions": [[0.170, 0.670, 0.500], [0.670, 0.830, 0.500], [0.830, 0.330, 0.500], [0.330, 0.170, 0.500], [0.000, 0.000, 0.000], [0.500, 0.500, 0.000], [0.356, 0.856, 0.000], [0.856, 0.644, 0.000], [0.644, 0.144, 0.000], [0.144, 0.356, 0.000]]
}